# MnFe2ReH

MnFe2ReH after structural relaxation (PBE, Alexandria).

The energy is -8.301 eV per atom.

The structure belongs to space group P4/mmm (No. 123); the cell edges are 3.622, 3.622 and 3.830 Å and the angles 90.00°, 90.00° and 90.00°. The asymmetric unit holds Mn at (0.000, 0.000, 0.000), Fe at (0.000, 0.500, 0.500), Re at (0.500, 0.500, 0.000) and H at (0.500, 0.500, 0.500).

# Mn2FeReH

Mn2FeReH after structural relaxation (PBE, Alexandria).

The energy is -8.442 eV per atom.

The structure belongs to space group P4/mmm (No. 123); the cell edges are 3.657, 3.657 and 3.816 Å and the angles 90.00°, 90.00° and 90.00°. The asymmetric unit holds Mn at (0.000, 0.500, 0.000), Fe at (0.000, 0.000, 0.500), Re at (0.500, 0.500, 0.500) and H at (0.500, 0.500, 0.000).

# Mn2FeReH

Mn2FeReH after structural relaxation (PBE, Alexandria).

The energy is -8.515 eV per atom.

The structure belongs to space group P4/mmm (No. 123); the cell edges are 3.679, 3.679 and 3.647 Å and the angles 90.00°, 90.00° and 90.00°. The asymmetric unit holds Mn at (0.000, 0.500, 0.000), Fe at (0.000, 0.000, 0.500), Re at (0.500, 0.500, 0.500) and H at (0.000, 0.000, 0.000).

# MnFeHRh2

MnFeHRh2 after structural relaxation (PBE, Alexandria).

The energy is -7.068 eV per atom.

The structure belongs to space group P4/mmm (No. 123); the cell edges are 3.793, 3.793 and 3.751 Å and the angles 90.00°, 90.00° and 90.00°. The asymmetric unit holds Mn at (0.000, 0.000, 0.000), Fe at (0.500, 0.500, 0.000), H at (0.000, 0.000, 0.500) and Rh at (0.000, 0.500, 0.500).

# MnFe2HRh

MnFe2HRh after structural relaxation (PBE, Alexandria).

The energy is -7.272 eV per atom.

The structure belongs to space group P4/mmm (No. 123); the cell edges are 3.604, 3.604 and 3.629 Å and the angles 90.00°, 90.00° and 90.00°. The asymmetric unit holds Mn at (0.000, 0.000, 0.000), Fe at (0.000, 0.500, 0.500), H at (0.000, 0.000, 0.500) and Rh at (0.500, 0.500, 0.000).

# MnFeHRh2

MnFeHRh2 after structural relaxation (PBE, Alexandria).

The energy is -7.235 eV per atom.

The structure belongs to space group P4/mmm (No. 123); the cell edges are 3.908, 3.908 and 3.701 Å and the angles 90.00°, 90.00° and 90.00°. The asymmetric unit holds Mn at (0.000, 0.000, 0.000), Fe at (0.500, 0.500, 0.000), H at (0.500, 0.500, 0.500) and Rh at (0.000, 0.500, 0.500).

# MnFe2HRh

MnFe2HRh after structural relaxation (PBE, Alexandria).

The energy is -7.406 eV per atom.

The structure belongs to space group P4/mmm (No. 123); the cell edges are 3.671, 3.671 and 3.886 Å and the angles 90.00°, 90.00° and 90.00°. The asymmetric unit holds Mn at (0.000, 0.000, 0.000), Fe at (0.000, 0.500, 0.500), H at (0.500, 0.500, 0.500) and Rh at (0.500, 0.500, 0.000).

# MnFeHRu2

MnFeHRu2 after structural relaxation (PBE, Alexandria).

The energy is -7.876 eV per atom.

The structure belongs to space group P4/mmm (No. 123); the cell edges are 3.855, 3.855 and 3.652 Å and the angles 90.00°, 90.00° and 90.00°. The asymmetric unit holds Mn at (0.000, 0.000, 0.000), Fe at (0.500, 0.500, 0.000), H at (0.500, 0.500, 0.500) and Ru at (0.000, 0.500, 0.500).

Short version: M_tot = 0.039; 0.153; 0.198; 0.635; 0.090; 0.048; 0.189; 0.062 μB/atom, in the order given.